No. 1
First-principles (GGA-PBE) data for an optimized crystal structure of Rb2Sn5Hg, as listed in Alexandria via LeMat-Bulk.

Output
Energy of formation, eV per atom: -0.12
Crystal system: tetragonal
Total magnetization, Bohr magnetons per cell: 0.00

a = 6.5572 Å, b = 6.5572 Å, c = 8.3534 Å
α = 113.13°, β = 113.13°, γ = 90.00°
Fractional positions:
Rb 0.7188 0.2188 0.4376
Rb 0.2188 0.7188 0.4376
Sn 0.7011 0.7011 0.9462
Sn 0.7012 0.2452 0.9464
Sn 0.2452 0.7012 0.9464
Sn 0.2453 0.2453 0.9466
Sn 0.8489 0.8489 0.6977
Hg 0.0977 0.0978 0.1956

=====

No. 2
First-principles (GGA-PBE) data for an optimized crystal structure of BaNaV, as listed in Alexandria via LeMat-Bulk.

Output
Energy of formation, eV per atom: 0.51
Crystal system: monoclinic
Total magnetization, Bohr magnetons per cell: 0.00
Distance to the lowest polymorph of the same formula, eV per atom: 0.026

a = 21.2510 Å, b = 10.6098 Å, c = 10.6098 Å
α = 152.75°, β = 161.96°, γ = 18.04°
Fractional positions:
Na 0.7492 0.0474 0.9526
Na 0.2508 0.9526 0.0474
Ba 0.7600 0.8354 0.1646
Ba 0.2400 0.1646 0.8354
V 0.3063 0.7119 0.2881
V 0.6937 0.2881 0.7119